(1)
A plane-wave DFT calculation with PBE was carried out for a relaxed structure of ScTi2B2.

a b c (Å): 6.1970 6.1970 3.3173
angles (deg): 90.00 90.00 90.00
Last column: nearest neighbours and their distance in Å.
Positions (direct):
1 Sc 0.0000 0.0000 0.0000  4 B 2.56, 8 Ti 2.83
2 Sc 0.5000 0.5000 0.0000  4 B 2.56, 8 Ti 2.83
3 B 0.4005 0.9005 0.0000  1 B 1.74
4 B 0.9005 0.5995 0.0000  1 B 1.74
5 B 0.5995 0.0995 0.0000  1 B 1.74
6 B 0.0995 0.4005 0.0000  1 B 1.74
7 Ti 0.1746 0.6746 0.5000  6 B 2.42-2.58
8 Ti 0.6746 0.8254 0.5000  6 B 2.42-2.58
9 Ti 0.8254 0.3254 0.5000  6 B 2.42-2.58
10 Ti 0.3254 0.1746 0.5000  6 B 2.42-2.58

Calculated values
Formation energy   -0.406 eV/atom

***

(2)
A plane-wave DFT calculation with PBE was carried out for a relaxed structure of YScTi2B.

a b c (Å): 4.5255 5.4420 4.5255
angles (deg): 90.00 90.00 90.00
Last column: nearest neighbours and their distance in Å.
Positions (direct):
1 Y 0.0000 0.5000 0.0000  2 Sc 2.72
2 Sc 0.0000 0.0000 0.0000  4 Ti 2.26
3 B 0.5000 0.5000 0.5000  4 Y 3.20, 8 Ti 3.54
4 Ti 0.0000 0.0000 0.5000  2 Sc 2.26
5 Ti 0.5000 0.0000 0.0000  2 Sc 2.26

Calculated values
Formation energy   1.798 eV/atom

***

(3)
A plane-wave DFT calculation with PBE was carried out for a relaxed structure of Sc3TlB.

a b c (Å): 4.6926 4.6926 4.6926
angles (deg): 90.00 90.00 90.00
Last column: nearest neighbours and their distance in Å.
Positions (direct):
1 Sc 0.0000 0.5000 0.0000  2 B 2.35
2 Sc 0.0000 0.0000 0.5000  2 B 2.35
3 Sc 0.5000 0.0000 0.0000  2 B 2.35
4 Tl 0.5000 0.5000 0.5000  12 Sc 3.32
5 B 0.0000 0.0000 0.0000  6 Sc 2.35

Calculated values
E above lowest polymorph   0.000 eV/atom
Formation energy   -0.355 eV/atom

***

(4)
A plane-wave DFT calculation with PBE was carried out for a relaxed structure of ScTl2B.

a b c (Å): 4.9631 4.9631 4.9631
angles (deg): 60.00 60.00 60.00
Last column: nearest neighbours and their distance in Å.
Positions (direct):
1 Sc 0.5000 0.5000 0.5000  8 Tl 3.04
2 Tl 0.2500 0.2500 0.2500  4 Sc 3.04, 4 B 3.04
3 Tl 0.7500 0.7500 0.7500  4 B 3.04, 4 Sc 3.04
4 B 0.0000 0.0000 0.0000  8 Tl 3.04

Calculated values
E above lowest polymorph   0.419 eV/atom
Formation energy   0.853 eV/atom

***

(5)
A plane-wave DFT calculation with PBE was carried out for a relaxed structure of ScTl3B.

a b c (Å): 5.6305 5.6305 5.6305
angles (deg): 90.00 90.00 90.00
Last column: nearest neighbours and their distance in Å.
Positions (direct):
1 Sc 0.0000 0.0000 0.0000  6 Tl 2.82
2 Tl 0.0000 0.5000 0.0000  2 Sc 2.82
3 Tl 0.0000 0.0000 0.5000  2 Sc 2.82
4 Tl 0.5000 0.0000 0.0000  2 Sc 2.82
5 B 0.5000 0.5000 0.5000  12 Tl 3.98

Calculated values
E above lowest polymorph   0.635 eV/atom
Formation energy   1.332 eV/atom

***

(6)
A plane-wave DFT calculation with PBE was carried out for a relaxed structure of ScTl3B.

a b c (Å): 4.9458 4.9458 4.9458
angles (deg): 90.00 90.00 90.00
Last column: nearest neighbours and their distance in Å.
Positions (direct):
1 Sc 0.5000 0.5000 0.5000  12 Tl 3.50
2 Tl 0.0000 0.5000 0.0000  2 B 2.47
3 Tl 0.0000 0.0000 0.5000  2 B 2.47
4 Tl 0.5000 0.0000 0.0000  2 B 2.47
5 B 0.0000 0.0000 0.0000  6 Tl 2.47

Calculated values
E above lowest polymorph   0.000 eV/atom
Formation energy   0.697 eV/atom

***

(7)
A plane-wave DFT calculation with PBE was carried out for a relaxed structure of ScTl2B.

a b c (Å): 8.1373 8.1373 6.3002
angles (deg): 49.77 49.77 90.00
Last column: nearest neighbours and their distance in Å.
Positions (direct):
1 Sc 0.0000 0.0000 0.0000  2 B 2.57
2 Sc 0.7500 0.2500 0.5000  2 B 2.57
3 Tl 0.5308 0.1250 0.2500  2 B 2.48
4 Tl 0.2192 0.6250 0.2500  2 B 2.48
5 Tl 0.3750 0.4692 0.7500  2 B 2.48
6 Tl 0.8750 0.7808 0.7500  2 B 2.48
7 B 0.5000 0.5000 0.0000  4 Tl 2.48, 2 Sc 2.57
8 B 0.2500 0.7500 0.5000  4 Tl 2.48, 2 Sc 2.57

Calculated values
E above lowest polymorph   0.000 eV/atom
Formation energy   0.434 eV/atom

***

(8)
A plane-wave DFT calculation with PBE was carried out for a relaxed structure of Sc3TlB.

a b c (Å): 5.2922 5.2922 5.2922
angles (deg): 90.00 90.00 90.00
Last column: nearest neighbours and their distance in Å.
Positions (direct):
1 Sc 0.0000 0.5000 0.0000  2 Tl 2.65
2 Sc 0.0000 0.0000 0.5000  2 Tl 2.65
3 Sc 0.5000 0.0000 0.0000  2 Tl 2.65
4 Tl 0.0000 0.0000 0.0000  6 Sc 2.65
5 B 0.5000 0.5000 0.5000  12 Sc 3.74

Calculated values
E above lowest polymorph   1.681 eV/atom
Formation energy   1.327 eV/atom

***

(9)
A plane-wave DFT calculation with PBE was carried out for a relaxed structure of Sc2Tl2B.

a b c (Å): 6.7466 6.7466 4.6438
angles (deg): 90.00 90.00 90.00
Last column: nearest neighbours and their distance in Å.
Positions (direct):
1 Sc 0.1637 0.6637 0.5000  6 Tl 2.90-3.16, 1 Sc 3.12
2 Sc 0.6637 0.8363 0.5000  6 Tl 2.90-3.16, 1 Sc 3.12
3 Sc 0.8363 0.3363 0.5000  6 Tl 2.90-3.16, 1 Sc 3.12
4 Sc 0.3363 0.1637 0.5000  6 Tl 2.90-3.16, 1 Sc 3.12
5 Tl 0.3460 0.8460 0.0000  2 B 2.56
6 Tl 0.8460 0.6540 0.0000  2 B 2.56
7 Tl 0.6540 0.1540 0.0000  2 B 2.56
8 Tl 0.1540 0.3460 0.0000  2 B 2.56
9 B 0.0000 0.0000 0.0000  4 Tl 2.56
10 B 0.5000 0.5000 0.0000  4 Tl 2.56

Calculated values
E above lowest polymorph   0.000 eV/atom
Formation energy   0.405 eV/atom

***

(10)
A plane-wave DFT calculation with PBE was carried out for a relaxed structure of Sc2Tl2B.

a b c (Å): 3.9707 3.9707 8.2126
angles (deg): 76.01 76.01 90.00
Last column: nearest neighbours and their distance in Å.
Positions (direct):
1 Sc 0.7500 0.2500 0.5000  4 Sc 2.81, 4 Tl 3.14
2 Sc 0.2500 0.7500 0.5000  4 Sc 2.81, 4 Tl 3.14
3 Tl 0.4080 0.4080 0.1841  1 Tl 2.84, 4 Sc 3.14, 4 B 3.15
4 Tl 0.5920 0.5920 0.8159  1 Tl 2.84, 4 Sc 3.14, 4 B 3.15
5 B 0.0000 0.0000 0.0000  8 Tl 3.15

Calculated values
E above lowest polymorph   0.623 eV/atom
Formation energy   1.028 eV/atom

***

(11)
A plane-wave DFT calculation with PBE was carried out for a relaxed structure of Sc2TlVB.

a b c (Å): 4.6642 4.6642 4.2219
angles (deg): 90.00 90.00 90.00
Last column: nearest neighbours and their distance in Å.
Positions (direct):
1 Sc 0.0000 0.5000 0.0000  2 B 2.33
2 Sc 0.5000 0.0000 0.0000  2 B 2.33
3 Tl 0.5000 0.5000 0.5000  8 Sc 3.15, 4 V 3.30
4 B 0.0000 0.0000 0.0000  2 V 2.11, 4 Sc 2.33
5 V 0.0000 0.0000 0.5000  2 B 2.11

Calculated values
Formation energy   -0.208 eV/atom

***

(12)
A plane-wave DFT calculation with PBE was carried out for a relaxed structure of ScTlB2W.

a b c (Å): 4.3580 5.0451 4.3580
angles (deg): 90.00 90.00 90.00
Last column: nearest neighbours and their distance in Å.
Positions (direct):
1 Sc 0.0000 0.5000 0.0000  2 W 2.52
2 Tl 0.5000 0.5000 0.5000  4 Sc 3.08, 8 B 3.33
3 B 0.0000 0.0000 0.5000  2 W 2.18
4 B 0.5000 0.0000 0.0000  2 W 2.18
5 W 0.0000 0.0000 0.0000  4 B 2.18

Calculated values
Formation energy   1.014 eV/atom